No. 1
Rb8As2O: relaxed, PBE.

Unit cell a=10.9510 b=10.9510 c=7.4970 alpha=108.49 beta=108.49 gamma=31.06
Positions (direct):
Rb 0.0066 0.0066 0.2731
Rb 0.2322 0.2322 0.7719
Rb 0.3758 0.3758 0.5899
Rb 0.4044 0.4044 0.1368
Rb 0.5956 0.5956 0.8632
Rb 0.6242 0.6242 0.4101
Rb 0.7678 0.7678 0.2281
Rb 0.9934 0.9934 0.7269
As 0.1524 0.1524 0.1486
As 0.8476 0.8476 0.8514
O 0.5000 0.5000 0.5000

Summary:
**SG**: No. 12
**V**: 438.1 Å³/f.u.
**Formation energy (no corrections)**: -391 meV/atom
**Total magnetic moment**: 0.000 μB per cell
**Energy above the most stable polymorph in this dataset**: 0.000 eV/atom

No. 2
EuB2Rh3: relaxed, PBE.

Unit cell a=5.6463 b=5.6463 c=2.9551 alpha=90.00 beta=90.00 gamma=120.00
Positions (direct):
Eu 0.0000 0.0000 0.0000
B 0.3333 0.6667 0.0000
B 0.6667 0.3333 0.0000
Rh 0.0000 0.5000 0.5000
Rh 0.5000 0.0000 0.5000
Rh 0.5000 0.5000 0.5000

Summary:
**SG**: No. 191
**V**: 81.6 Å³/f.u.
**Formation enthalpy at 0 K**: -598.6 meV per atom
**Total magnetic moment**: 6.925 μB per cell